DFT (meta-GGA SCAN) results for a PBEsol-optimized structure of HfCo2W.

Lattice parameters (Å, degrees): 4.299 4.299 4.299 60.00 60.00 60.00
Positions (direct):
Hf  0.000  0.000  0.000
Co  0.250  0.250  0.250
Co  0.750  0.750  0.750
W  0.500  0.500  0.500

## Properties
- DOS(E_F) (states/eV per atom) = 0.47
- formation energy from the elements (meV/atom) = -121
- calculated volume (Å³/f.u.) = 56
- total moment (Bohr magnetons per cell) = 3.64
- DFT total energy (eV/atom) = -41.864
- SG = Fm-3m